VASP calculation (PBE) on a relaxed CuPdRh2N crystal.

```
CuPdRh2N
1.0
4.0232 0.0000 0.0000
0.0000 4.0232 0.0000
0.0000 0.0000 4.0101
Cu Pd Rh N
1 1 2 1
direct
0.0000 0.0000 0.0000
0.5000 0.5000 0.0000
0.0000 0.5000 0.5000
0.5000 0.0000 0.5000
0.0000 0.0000 0.5000
```

**Space-group type**: P4/mmm
**Formation energy (no corrections)**: 0.236 eV per atom
**Calculated total energy**: -6.23 eV/atom
**Theoretical density**: 10.0 g cm⁻³
**Volume**: 12.98 Å³ per atom
**Energy above the most stable polymorph in this dataset**: 10 meV/atom

=====

VASP calculation (PBE) on a relaxed CdAg2Au3 crystal.

```
CdAg2Au3
1.0
2.1340 -6.2817 0.0000
2.1340 6.2817 0.0000
0.0000 0.0000 8.2228
Cd Ag Au
2 4 6
direct
0.1622 0.8378 0.0000
0.8378 0.1622 0.0000
0.1678 0.8322 0.5000
0.5000 0.5000 0.0000
0.5000 0.5000 0.5000
0.8322 0.1678 0.5000
0.0000 0.0000 0.2551
0.0000 0.0000 0.7449
0.3333 0.6667 0.2505
0.3333 0.6667 0.7495
0.6667 0.3333 0.2505
0.6667 0.3333 0.7495
```

**Space-group type**: Cmmm
**Formation energy from the elements**: -0.087 eV/atom
**Calculated total energy**: -2.83 eV/atom
**Theoretical density**: 13.8 g cm⁻³
**Volume**: 18.37 Å³ per atom
**Energy above the most stable polymorph in this dataset**: 0 meV/atom

=====

VASP calculation (PBE) on a relaxed AcY5Ag4 crystal.

```
AcY5Ag4
1.0
3.6419 0.0000 0.0000
0.0000 3.6419 0.0000
0.0000 0.0000 20.2521
Ac Y Ag
1 5 4
direct
0.0000 0.0000 0.0000
0.5000 0.5000 0.1375
0.5000 0.5000 0.3179
0.5000 0.5000 0.5000
0.5000 0.5000 0.6821
0.5000 0.5000 0.8625
0.0000 0.0000 0.2268
0.0000 0.0000 0.4092
0.0000 0.0000 0.5908
0.0000 0.0000 0.7732
```

**Space-group type**: P4/mmm
**Formation energy from the elements**: -0.247 eV/atom
**Calculated total energy**: -5.03 eV/atom
**Theoretical density**: 6.8 g cm⁻³
**Volume**: 26.86 Å³ per atom

=====

VASP calculation (PBE) on a relaxed La4MgOs crystal.

```
La4MgOs
1.0
4.7626 -7.6333 0.0000
4.7626 7.6333 0.0000
-3.4241 0.0000 6.0013
La Mg Os
8 2 2
direct
0.0646 0.6431 0.8607
0.1608 0.2605 0.7056
0.2605 0.1608 0.2056
0.3569 0.9354 0.6393
0.6431 0.0646 0.3607
0.7395 0.8392 0.7944
0.8392 0.7395 0.2944
0.9354 0.3569 0.1393
0.3888 0.6112 0.2500
0.6112 0.3888 0.7500
0.0826 0.9174 0.7500
0.9174 0.0826 0.2500
```

**Space-group type**: C2/c
**Formation energy from the elements**: -0.011 eV/atom
**Calculated total energy**: -5.43 eV/atom
**Theoretical density**: 5.9 g cm⁻³
**Volume**: 36.36 Å³ per atom
**Energy above the most stable polymorph in this dataset**: 161 meV/atom

=====

VASP calculation (PBE) on a relaxed KRb3Sr crystal.

```
KRb3Sr
1.0
7.7098 0.0000 0.0000
0.0000 7.7098 0.0000
0.0000 0.0000 7.7098
K Rb Sr
1 3 1
direct
0.0000 0.0000 0.0000
0.0000 0.0000 0.5000
0.0000 0.5000 0.0000
0.5000 0.0000 0.0000
0.5000 0.5000 0.5000
```

**Space-group type**: Pm-3m
**Formation energy from the elements**: 0.316 eV/atom
**Calculated total energy**: -0.82 eV/atom
**Theoretical density**: 1.4 g cm⁻³
**Volume**: 91.66 Å³ per atom
**Energy above the most stable polymorph in this dataset**: 0 meV/atom

=====

VASP calculation (PBE) on a relaxed Zr2ZnP crystal.

```
Zr2ZnP
1.0
3.8006 0.0000 0.0000
0.0000 3.8006 0.0000
0.0000 0.0000 5.3623
Zr Zn P
2 1 1
direct
0.0000 0.0000 0.0000
0.5000 0.5000 0.5000
0.0000 0.0000 0.5000
0.5000 0.5000 0.0000
```

**Space-group type**: P4/mmm
**Formation energy from the elements**: -0.675 eV/atom
**Calculated total energy**: -6.62 eV/atom
**Theoretical density**: 6.0 g cm⁻³
**Volume**: 19.36 Å³ per atom

=====

VASP calculation (PBE) on a relaxed ZnSbTe2N crystal.

```
ZnSbTe2N
1.0
5.8956 0.0000 0.0000
0.0000 5.8956 0.0000
0.0000 0.0000 3.8987
Zn Sb Te N
1 1 2 1
direct
0.0000 0.0000 0.0000
0.5000 0.5000 0.5000
0.0000 0.5000 0.5000
0.5000 0.0000 0.5000
0.5000 0.5000 0.0000
```

**Space-group type**: P4/mmm
**Formation energy (no corrections)**: 0.860 eV per atom
**Calculated total energy**: -3.14 eV/atom
**Theoretical density**: 5.6 g cm⁻³
**Volume**: 27.10 Å³ per atom
**Energy above the most stable polymorph in this dataset**: 144 meV/atom

=====

VASP calculation (PBE) on a relaxed Bi2Ru4O crystal.

```
Bi2Ru4O
1.0
-1.9780 1.9780 7.9500
1.9780 -1.9780 7.9500
1.9780 1.9780 -7.9500
Bi Ru O
2 4 1
direct
0.1827 0.1827 0.0000
0.8173 0.8173 0.0000
0.0000 0.5000 0.5000
0.3685 0.3685 0.0000
0.5000 0.0000 0.5000
0.6315 0.6315 0.0000
0.5000 0.5000 0.0000
```

**Space-group type**: I4/mmm
**Formation energy (no corrections)**: 0.465 eV per atom
**Calculated total energy**: -6.65 eV/atom
**Theoretical density**: 11.2 g cm⁻³
**Volume**: 17.77 Å³ per atom

=====

VASP calculation (PBE) on a relaxed NaMgSi3 crystal.

```
NaMgSi3
1.0
4.9241 0.0000 0.0000
0.0000 4.9241 0.0000
0.0000 0.0000 4.9241
Na Mg Si
1 1 3
direct
0.0000 0.0000 0.0000
0.5000 0.5000 0.5000
0.0000 0.0000 0.5000
0.0000 0.5000 0.0000
0.5000 0.0000 0.0000
```

**Space-group type**: Pm-3m
**Formation energy (no corrections)**: 1.306 eV per atom
**Calculated total energy**: -2.53 eV/atom
**Theoretical density**: 1.8 g cm⁻³
**Volume**: 23.88 Å³ per atom
**Energy above the most stable polymorph in this dataset**: 435 meV/atom

=====

VASP calculation (PBE) on a relaxed BaCdAg crystal.

```
BaCdAg
1.0
5.8964 -2.5501 0.0000
5.8964 2.5501 0.0000
-5.4977 0.0000 6.1555
Ba Cd Ag
2 2 2
direct
0.0505 0.0505 0.3005
0.9495 0.9495 0.6995
0.3269 0.3269 0.8941
0.6731 0.6731 0.1059
0.3417 0.3417 0.2867
0.6583 0.6583 0.7133
```

**Space-group type**: C2/m
**Formation energy from the elements**: -0.300 eV/atom
**Calculated total energy**: -2.20 eV/atom
**Theoretical density**: 6.4 g cm⁻³
**Volume**: 30.85 Å³ per atom

=====

VASP calculation (PBE) on a relaxed YLu3Os crystal.

```
YLu3Os
1.0
5.3138 0.0000 0.0000
0.0000 5.3138 0.0000
0.0000 0.0000 5.3138
Y Lu Os
1 3 1
direct
0.0000 0.0000 0.0000
0.0000 0.5000 0.5000
0.5000 0.0000 0.5000
0.5000 0.5000 0.0000
0.5000 0.5000 0.5000
```

**Space-group type**: Pm-3m
**Formation energy from the elements**: -0.030 eV/atom
**Calculated total energy**: -6.28 eV/atom
**Theoretical density**: 8.9 g cm⁻³
**Volume**: 30.01 Å³ per atom

=====

VASP calculation (PBE) on a relaxed CaEuAu4 crystal.

```
CaEuAu4
1.0
0.0000 4.0618 4.0618
4.0618 0.0000 4.0618
4.0618 4.0618 0.0000
Ca Eu Au
1 1 4
direct
0.0000 0.0000 0.0000
0.7500 0.7500 0.7500
0.3747 0.3747 0.3747
0.3747 0.3747 0.8758
0.3747 0.8758 0.3747
0.8758 0.3747 0.3747
```

**Space-group type**: F-43m
**Formation energy from the elements**: -0.580 eV/atom
**Calculated total energy**: -4.81 eV/atom
**Theoretical density**: 12.1 g cm⁻³
**Volume**: 22.34 Å³ per atom

=====

Number 2 is which compound? CdAg2Au3

=====

Which formula does entry 5 have? KRb3Sr

=====

Which value of theoretical density does entry 9 give? 1.8 g cm⁻³